Entry 1:
## YTl3Rh (PBE)

Data for a relaxed YTl3Rh crystal.

Computed properties:
As for the energy of formation: 128 meV per atom. For the distance to the lowest polymorph of the same formula, the calculation gives 0 meV/atom. The total magnetization comes out at 0.00 μB per formula unit. The density of states at the Fermi level is 4.93 states/eV per cell. The calculation puts the energy at -4.055 eV per atom.

Structure (POSCAR):
```
YTl3Rh
1.0
5.203 0.000 0.000
0.000 5.203 0.000
0.000 0.000 5.203
Y Tl Rh
1 3 1
direct
0.500 0.500 0.500
0.000 0.500 0.000
0.000 0.000 0.500
0.500 0.000 0.000
0.000 0.000 0.000
```

Entry 2:
## ScAsC3 (PBE)

Data for a relaxed ScAsC3 crystal.

Computed properties:
As for the energy of formation: 2517 meV per atom. For the distance to the lowest polymorph of the same formula, the calculation gives 708 meV/atom. The total magnetization comes out at 0.00 μB per formula unit. The density of states at the Fermi level is 2.25 states/eV per cell. The calculation puts the energy at -5.213 eV per atom.

Structure (POSCAR):
```
ScAsC3
1.0
-1.677 3.853 -0.490
-1.562 -1.157 -3.758
-3.557 -1.308 1.881
Sc As C
1 1 3
direct
0.000 0.000 0.000
0.500 0.500 0.500
0.000 0.500 0.000
0.000 0.000 0.500
0.500 0.000 0.000
```

Entry 3:
## MgCuRh3 (PBE)

Data for a relaxed MgCuRh3 crystal.

Computed properties:
As for the energy of formation: 820 meV per atom. For the distance to the lowest polymorph of the same formula, the calculation gives 0 meV/atom. The total magnetization comes out at 1.39 μB per formula unit. The density of states at the Fermi level is 7.23 states/eV per cell. The calculation puts the energy at -4.729 eV per atom.

Structure (POSCAR):
```
MgCuRh3
1.0
-1.582 3.284 2.667
-2.888 1.242 -3.243
-3.092 -2.841 1.664
Mg Rh Cu
1 3 1
direct
0.500 0.500 0.500
0.000 0.500 0.000
0.000 0.000 0.500
0.500 0.000 0.000
0.000 0.000 0.000
```

Entry 4:
## TeBr (PBE)

Data for a relaxed TeBr crystal.

Computed properties:
As for the energy relative to the elements, uncorrected: -0.09 eV per atom. The total magnetization comes out at 0.00 μB per formula unit. The density of states at the Fermi level is 3.27 states/eV per cell. The calculation puts the energy at -2.496 eV per atom.

Structure (POSCAR):
```
TeBr
1.0
3.782 -0.127 -0.122
0.292 5.966 -0.039
0.388 0.102 7.315
Te Br
2 2
direct
0.029 0.505 0.309
0.035 0.682 0.969
0.033 0.164 0.013
0.023 0.861 0.515
```

Entry 5:
## LaY4TlS8 (PBE)

Data for a relaxed LaY4TlS8 crystal.

Computed properties:
As for the energy relative to the elements, uncorrected: -1.83 eV per atom. The total magnetization comes out at 0.00 μB per formula unit. The calculation puts the energy at -6.561 eV per atom.

Structure (POSCAR):
```
LaY4TlS8
1.0
8.197 0.000 0.000
4.098 7.099 0.000
4.098 2.366 6.949
La Y Tl S
1 4 1 8
direct
0.004 0.004 0.989
0.626 0.626 0.121
0.004 0.488 0.504
0.488 0.004 0.504
0.004 0.004 0.504
0.371 0.371 0.887
0.241 0.797 0.721
0.797 0.241 0.721
0.241 0.241 0.721
0.232 0.232 0.304
0.751 0.231 0.266
0.231 0.751 0.266
0.751 0.751 0.266
0.757 0.757 0.728
```

Entry 6:
## SrBi3Pb3 (PBE)

Data for a relaxed SrBi3Pb3 crystal.

Computed properties:
As for the energy of formation: 174 meV per atom. For the distance to the lowest polymorph of the same formula, the calculation gives 346 meV/atom. The total magnetization comes out at 0.00 μB per formula unit. The density of states at the Fermi level is 10.01 states/eV per cell. The calculation puts the energy at -3.319 eV per atom.

Structure (POSCAR):
```
SrBi3Pb3
1.0
8.749 0.000 0.000
0.000 8.749 0.000
0.000 0.000 8.749
Pb Sr Bi
6 2 6
direct
0.250 0.000 0.500
0.000 0.500 0.250
0.500 0.750 0.000
0.750 0.000 0.500
0.000 0.500 0.750
0.500 0.250 0.000
0.500 0.500 0.500
0.000 0.000 0.000
0.000 0.250 0.500
0.000 0.750 0.500
0.500 0.000 0.750
0.750 0.500 0.000
0.500 0.000 0.250
0.250 0.500 0.000
```

Entry 7:
## Sc12Tl4AgO3 (PBE)

Data for a relaxed Sc12Tl4AgO3 crystal.

Computed properties:
As for the energy relative to the elements, uncorrected: -0.96 eV per atom. The total magnetization comes out at 0.00 μB per formula unit. The density of states at the Fermi level is 19.13 states/eV per cell. The calculation puts the energy at -6.117 eV per atom.

Structure (POSCAR):
```
Sc12Tl4AgO3
1.0
8.031 0.000 0.000
-2.677 7.571 0.000
-2.677 -3.786 6.557
Sc Tl Ag O
12 4 1 3
direct
0.250 0.500 0.750
0.727 0.000 0.727
0.273 0.000 0.273
0.750 0.500 0.250
0.727 0.727 0.000
0.273 0.273 0.000
0.750 0.250 0.500
0.250 0.750 0.500
0.500 0.250 0.750
0.000 0.727 0.727
0.500 0.750 0.250
0.000 0.273 0.273
0.500 0.500 0.500
0.000 0.000 0.500
0.500 0.000 0.000
0.000 0.500 0.000
0.000 0.000 0.000
0.500 0.000 0.500
0.500 0.500 0.000
0.000 0.500 0.500
```

Entry 8:
## AcErC2O8 (PBE)

Data for a relaxed AcErC2O8 crystal.

Computed properties:
As for the energy relative to the elements, uncorrected: -2.01 eV per atom. The total magnetization comes out at 2.02 μB per formula unit. The density of states at the Fermi level is 7.04 states/eV per cell. The calculation puts the energy at -7.573 eV per atom.

Structure (POSCAR):
```
AcErC2O8
1.0
5.062 0.000 0.000
2.531 4.358 -0.022
2.531 1.474 5.947
Ac Er C O
1 1 2 8
direct
0.500 0.500 0.500
0.000 0.000 0.000
0.266 0.266 0.203
0.734 0.734 0.797
0.910 0.459 0.720
0.659 0.652 0.030
0.090 0.541 0.280
0.341 0.348 0.970
0.542 0.089 0.277
0.458 0.911 0.723
0.092 0.089 0.277
0.908 0.911 0.723
```

Entry 9:
## AsIrRu (PBE)

Data for a relaxed AsIrRu crystal.

Computed properties:
As for the energy of formation: 35 meV per atom. For the distance to the lowest polymorph of the same formula, the calculation gives 0 meV/atom. The total magnetization comes out at 0.00 μB per formula unit. The density of states at the Fermi level is 4.70 states/eV per cell. The calculation puts the energy at -7.560 eV per atom.

Structure (POSCAR):
```
AsIrRu
1.0
-0.902 3.865 0.931
-2.192 0.836 3.334
1.769 1.791 3.207
Ru As Ir
1 1 1
direct
0.500 0.500 0.500
0.750 0.750 0.750
0.000 0.000 0.000
```

Entry 10:
## NiMo2AsI (PBE)

Data for a relaxed NiMo2AsI crystal.

Computed properties:
As for the energy relative to the elements, uncorrected: 1.84 eV per atom. The total magnetization comes out at 3.27 μB per formula unit. The density of states at the Fermi level is 6.58 states/eV per cell. The calculation puts the energy at -4.892 eV per atom.

Structure (POSCAR):
```
NiMo2AsI
1.0
5.018 0.000 0.000
0.000 4.477 0.000
0.000 0.000 5.018
I Ni Mo As
1 1 2 1
direct
0.000 0.000 0.000
0.000 0.500 0.000
0.000 0.000 0.500
0.500 0.000 0.000
0.500 0.500 0.500
```

Entry 11:
## Mg6ZrCo (PBE)

Data for a relaxed Mg6ZrCo crystal.

Computed properties:
As for the energy of formation: 144 meV per atom. For the distance to the lowest polymorph of the same formula, the calculation gives 40 meV/atom. The total magnetization comes out at 0.53 μB per formula unit. The density of states at the Fermi level is 7.50 states/eV per cell. The calculation puts the energy at -3.008 eV per atom.

Structure (POSCAR):
```
Mg6ZrCo
1.0
-0.713 4.038 4.921
-4.582 -3.675 -2.555
1.145 -3.589 3.111
Mg Zr Co
6 1 1
direct
0.817 0.678 0.500
0.322 0.183 0.500
0.665 0.829 0.000
0.171 0.335 0.000
0.666 0.334 0.000
0.198 0.802 0.000
0.818 0.182 0.500
0.344 0.656 0.500
```

Entry 12:
## Na2HgOsBr (PBE)

Data for a relaxed Na2HgOsBr crystal.

Computed properties:
As for the energy relative to the elements, uncorrected: 0.59 eV per atom. The total magnetization comes out at 2.11 μB per formula unit. The density of states at the Fermi level is 2.19 states/eV per cell. The calculation puts the energy at -2.581 eV per atom.

Structure (POSCAR):
```
Na2HgOsBr
1.0
-2.117 5.254 1.352
-4.630 -1.375 -1.908
-1.573 -1.983 5.244
Na Os Hg Br
2 1 1 1
direct
0.000 0.000 0.500
0.500 0.000 0.000
0.000 0.000 0.000
0.000 0.500 0.000
0.500 0.500 0.500
```

Entry 13:
## Sm2Al4InPt3 (PBE)

Data for a relaxed Sm2Al4InPt3 crystal.

Computed properties:
As for the energy of formation: -941 meV per atom. The total magnetization comes out at 0.00 μB per formula unit. The density of states at the Fermi level is 5.57 states/eV per cell. The calculation puts the energy at -5.468 eV per atom.

Structure (POSCAR):
```
Sm2Al4InPt3
1.0
-0.555 -3.469 -2.460
4.246 -0.306 -0.526
0.626 -6.282 8.717
Sm Al In Pt
2 4 1 3
direct
0.500 0.000 0.240
0.000 0.500 0.760
0.500 0.500 0.000
0.000 0.000 0.000
0.500 0.000 0.648
0.000 0.500 0.352
0.500 0.500 0.500
0.000 0.000 0.500
0.500 0.000 0.874
0.000 0.500 0.126
```